No. 1
Computed, not measured: an optimized crystal structure of Dy2CuHPt6 at the PBE level of DFT. Values from VASP.

```
&SYSTEM
  ibrav = 0, nat = 10, ntyp = 4
/
ATOMIC_SPECIES
Dy 162.50 Dy.upf
Cu 63.55 Cu.upf
H 1.01 H.upf
Pt 195.08 Pt.upf
ATOMIC_POSITIONS angstrom
Dy 1.6149 0.0000 0.8557
Dy 4.8572 0.0000 5.3168
Cu 4.8479 0.0000 0.0000
H -1.6119 0.0000 3.0862
Pt 0.0256 0.0000 4.2631
Pt 2.4245 1.3861 4.2653
Pt 4.0476 1.3861 1.9072
Pt 2.4245 -1.3861 4.2653
Pt 4.0476 -1.3861 1.9072
Pt 6.4465 0.0000 1.9093
CELL_PARAMETERS angstrom
4.8479 -2.7993 0.0000
4.8479 2.7993 0.0000
-3.2238 0.0000 6.1725
```

Output
**Space group**: No. 12
**Raw total energy**: -60.0 eV per cell

No. 2
Computed, not measured: an optimized crystal structure of RbTmTlF6 at the PBE level of DFT. Values from VASP.

```
&SYSTEM
  ibrav = 0, nat = 18, ntyp = 4
/
ATOMIC_SPECIES
Rb 85.47 Rb.upf
Tm 168.93 Tm.upf
Tl 204.38 Tl.upf
F 19.00 F.upf
ATOMIC_POSITIONS angstrom
Rb 0.0000 0.0000 0.0000
Rb 0.0000 0.0000 5.5601
Tm 0.0000 3.6352 2.7801
Tm 3.1482 1.8176 8.3402
Tl 0.0000 3.6352 8.3402
Tl 3.1482 1.8176 2.7801
F -1.0328 2.1409 1.6106
F -1.8105 3.4879 3.9496
F 1.0328 2.1409 3.9496
F -0.7777 5.2767 1.6106
F 2.3705 0.1761 7.1707
F 1.3377 1.9649 9.5097
F 1.8105 3.4879 1.6106
F 0.7777 5.2767 3.9496
F 3.9259 0.1761 9.5097
F 2.1154 3.3119 7.1707
F 4.9586 1.9649 7.1707
F 4.1809 3.3119 9.5097
CELL_PARAMETERS angstrom
6.2964 0.0000 0.0000
-3.1482 5.4528 0.0000
0.0000 0.0000 11.1202
```

Output
**Formation energy (no corrections)**: -290.4 kJ/mol of atoms
**Space group**: No. 163
**Raw total energy**: -92.3 eV per cell

No. 3
Computed, not measured: an optimized crystal structure of Y6Er2TmTh at the PBE level of DFT. Values from VASP.

```
&SYSTEM
  ibrav = 0, nat = 20, ntyp = 4
/
ATOMIC_SPECIES
Y 88.91 Y.upf
Er 167.26 Er.upf
Tm 168.93 Tm.upf
Th 232.04 Th.upf
ATOMIC_POSITIONS angstrom
Y 2.5170 4.2503 1.7482
Y 3.8150 4.9189 5.1287
Y 4.5374 4.9189 8.6416
Y 3.4873 1.7767 3.6233
Y 6.4749 4.2503 2.8419
Y 5.5046 1.7767 0.9669
Y 3.1675 -1.7767 8.2134
Y 2.1973 -4.2503 6.3383
Y 5.1848 -1.7767 5.5570
Y 4.1348 -4.9189 0.5386
Y 4.8572 -4.9189 4.0515
Y 6.1551 -4.2503 7.4320
Er 2.3518 0.8038 0.5272
Er 2.0320 -0.8038 5.1174
Er 6.6402 0.8038 4.0629
Er 6.3204 -0.8038 8.6530
Tm 4.1762 1.2366 6.8852
Tm 4.4960 -1.2366 2.2951
Th 4.4960 7.0371 2.2951
Th 4.1762 -7.0371 6.8852
CELL_PARAMETERS angstrom
4.6559 -7.5485 0.0000
4.6559 7.5485 0.0000
-0.6396 0.0000 9.1802
```

Output
**Space group**: No. 15
**ΔH_f (0 K)**: 149 meV per atom
**Raw total energy**: -116.6 eV per cell

No. 4
Computed, not measured: an optimized crystal structure of YBO at the PBE level of DFT. Values from VASP.

```
&SYSTEM
  ibrav = 0, nat = 6, ntyp = 3
/
ATOMIC_SPECIES
Y 88.91 Y.upf
B 10.81 B.upf
O 16.00 O.upf
ATOMIC_POSITIONS angstrom
Y 0.0000 0.0000 0.0000
Y 0.0000 0.0000 3.4146
B 1.8050 0.0000 5.4813
B 1.8050 0.0000 11.9877
O 0.0000 0.0000 8.9557
O 1.8050 0.0000 6.9822
CELL_PARAMETERS angstrom
3.6100 0.0000 0.0000
0.0000 1.5653 7.2160
0.0000 -1.5653 7.2160
```

Output
**Formation energy (no corrections)**: -170.3 kJ/mol of atoms
**E above lowest polymorph**: 110 meV per atom
**Space group**: No. 38
**Raw total energy**: -46.8 eV per cell

No. 5
Computed, not measured: an optimized crystal structure of EuPaZnGa at the PBE level of DFT. Values from VASP.

```
&SYSTEM
  ibrav = 0, nat = 4, ntyp = 4
/
ATOMIC_SPECIES
Eu 151.96 Eu.upf
Pa 231.04 Pa.upf
Zn 65.41 Zn.upf
Ga 69.72 Ga.upf
ATOMIC_POSITIONS angstrom
Eu 0.0000 0.0000 0.0000
Pa 3.6139 3.6139 3.6139
Zn 1.8069 1.8069 1.8069
Ga 5.4208 5.4208 5.4208
CELL_PARAMETERS angstrom
0.0000 3.6139 3.6139
3.6139 0.0000 3.6139
3.6139 3.6139 0.0000
```

Output
**Space group**: No. 216
**ΔH_f (0 K)**: -58 meV per atom
**Raw total energy**: -24.3 eV per cell

No. 6
Computed, not measured: an optimized crystal structure of Ca3MgP at the PBE level of DFT. Values from VASP.

```
&SYSTEM
  ibrav = 0, nat = 5, ntyp = 3
/
ATOMIC_SPECIES
Ca 40.08 Ca.upf
Mg 24.30 Mg.upf
P 30.97 P.upf
ATOMIC_POSITIONS angstrom
Ca 0.0000 0.0000 2.7712
Ca 0.0000 2.7712 0.0000
Ca 2.7712 0.0000 0.0000
Mg 2.7712 2.7712 2.7712
P 0.0000 0.0000 0.0000
CELL_PARAMETERS angstrom
5.5424 0.0000 0.0000
0.0000 5.5424 0.0000
0.0000 0.0000 5.5424
```

Output
**E above lowest polymorph**: 82 meV per atom
**Space group**: No. 221
**ΔH_f (0 K)**: -485 meV per atom
**Raw total energy**: -15.4 eV per cell